# Sr4Pt4O11, optimized geometry, DFT PBE
data_Sr4Pt4O11
_chemical_formula_sum 'Sr4 Pt4 O11'
_cell_length_a 5.532
_cell_length_b 8.011
_cell_length_c 5.679
_cell_angle_alpha 90.00
_cell_angle_beta 90.18
_cell_angle_gamma 90.00
_symmetry_space_group_name_H-M 'P 1'
_symmetry_Int_Tables_number 1
loop_
_symmetry_equiv_pos_as_xyz
'x,y,z'
loop_
_atom_site_label
_atom_site_type_symbol
_atom_site_fract_x
_atom_site_fract_y
_atom_site_fract_z
Sr1 Sr 0.000 0.000 0.000
Sr2 Sr 0.005 0.500 0.898
Sr3 Sr 0.484 0.000 0.512
Sr4 Sr 0.530 0.500 0.390
Pt1 Pt 0.009 0.247 0.448
Pt2 Pt 0.009 0.753 0.448
Pt3 Pt 0.509 0.239 0.950
Pt4 Pt 0.509 0.761 0.950
O1 O 0.100 0.500 0.459
O2 O 0.205 0.199 0.752
O3 O 0.205 0.801 0.752
O4 O 0.308 0.193 0.240
O5 O 0.308 0.807 0.240
O6 O 0.460 0.500 0.944
O7 O 0.702 0.284 0.645
O8 O 0.702 0.716 0.645
O9 O 0.815 0.286 0.145
O10 O 0.815 0.714 0.145
O11 O 0.910 0.000 0.438
# space-group type = Pm, No. 6
# magnetization = 0.0 μB/cell
# total DFT energy (no corrections) = -5.93 eV/atom

# NdB, optimized geometry, DFT PBE
data_NdB
_chemical_formula_sum 'Nd1 B1'
_cell_length_a 4.196
_cell_length_b 4.196
_cell_length_c 4.196
_cell_angle_alpha 60.00
_cell_angle_beta 60.00
_cell_angle_gamma 60.00
_symmetry_space_group_name_H-M 'P 1'
_symmetry_Int_Tables_number 1
loop_
_symmetry_equiv_pos_as_xyz
'x,y,z'
loop_
_atom_site_label
_atom_site_type_symbol
_atom_site_fract_x
_atom_site_fract_y
_atom_site_fract_z
Nd1 Nd 0.000 0.000 0.000
B1 B 0.250 0.250 0.250
# space-group type = F-43m, No. 216
# magnetization = 0.0 μB/cell
# total DFT energy (no corrections) = -4.81 eV/atom

# LiTbCdTe3, optimized geometry, DFT PBE
data_LiTbCdTe3
_chemical_formula_sum 'Li2 Tb2 Cd2 Te6'
_cell_length_a 10.367
_cell_length_b 10.367
_cell_length_c 8.960
_cell_angle_alpha 104.37
_cell_angle_beta 104.37
_cell_angle_gamma 23.84
_symmetry_space_group_name_H-M 'P 1'
_symmetry_Int_Tables_number 1
loop_
_symmetry_equiv_pos_as_xyz
'x,y,z'
loop_
_atom_site_label
_atom_site_type_symbol
_atom_site_fract_x
_atom_site_fract_y
_atom_site_fract_z
Li1 Li 0.103 0.103 0.115
Li2 Li 0.897 0.897 0.885
Tb1 Tb 0.177 0.177 0.590
Tb2 Tb 0.823 0.823 0.410
Cd1 Cd 0.455 0.455 0.271
Cd2 Cd 0.545 0.545 0.729
Te1 Te 0.000 0.000 0.500
Te2 Te 0.315 0.315 0.160
Te3 Te 0.332 0.332 0.661
Te4 Te 0.500 0.500 0.000
Te5 Te 0.668 0.668 0.339
Te6 Te 0.685 0.685 0.840
# space-group type = C2/m, No. 12
# magnetization = 0.0 μB/cell
# total DFT energy (no corrections) = -3.68 eV/atom

# Pt4PbO9, optimized geometry, DFT PBE
data_Pt4PbO9
_chemical_formula_sum 'Pt4 Pb1 O9'
_cell_length_a 6.750
_cell_length_b 6.750
_cell_length_c 4.891
_cell_angle_alpha 99.96
_cell_angle_beta 99.96
_cell_angle_gamma 122.13
_symmetry_space_group_name_H-M 'P 1'
_symmetry_Int_Tables_number 1
loop_
_symmetry_equiv_pos_as_xyz
'x,y,z'
loop_
_atom_site_label
_atom_site_type_symbol
_atom_site_fract_x
_atom_site_fract_y
_atom_site_fract_z
Pt1 Pt 0.000 0.000 0.000
Pt2 Pt 0.136 0.626 0.186
Pt3 Pt 0.374 0.864 0.814
Pt4 Pt 0.856 0.144 0.500
Pb1 Pb 0.570 0.430 0.500
O1 O 0.086 0.324 0.915
O2 O 0.150 0.162 0.424
O3 O 0.342 0.125 0.003
O4 O 0.369 0.631 0.500
O5 O 0.553 0.094 0.566
O6 O 0.676 0.914 0.085
O7 O 0.838 0.850 0.576
O8 O 0.875 0.658 0.997
O9 O 0.906 0.447 0.434
# space-group type = C2, No. 5
# magnetization = 0.0 μB/cell
# total DFT energy (no corrections) = -5.48 eV/atom

# DyLu2ScIn2, optimized geometry, DFT PBE
data_DyLu2ScIn2
_chemical_formula_sum 'Dy1 Lu2 Sc1 In2'
_cell_length_a 5.211
_cell_length_b 5.211
_cell_length_c 6.575
_cell_angle_alpha 90.00
_cell_angle_beta 90.00
_cell_angle_gamma 120.00
_symmetry_space_group_name_H-M 'P 1'
_symmetry_Int_Tables_number 1
loop_
_symmetry_equiv_pos_as_xyz
'x,y,z'
loop_
_atom_site_label
_atom_site_type_symbol
_atom_site_fract_x
_atom_site_fract_y
_atom_site_fract_z
Dy1 Dy 0.000 0.000 0.000
Lu1 Lu 0.333 0.667 0.257
Lu2 Lu 0.333 0.667 0.743
Sc1 Sc 0.667 0.333 0.500
In1 In 0.000 0.000 0.500
In2 In 0.667 0.333 0.000
# space-group type = P-6m2, No. 187
# magnetization = 0.9 μB/cell
# total DFT energy (no corrections) = -4.58 eV/atom

# SmPuGa, optimized geometry, DFT PBE
data_SmPuGa
_chemical_formula_sum 'Sm1 Pu1 Ga1'
_cell_length_a 5.006
_cell_length_b 5.006
_cell_length_c 5.006
_cell_angle_alpha 60.00
_cell_angle_beta 60.00
_cell_angle_gamma 60.00
_symmetry_space_group_name_H-M 'P 1'
_symmetry_Int_Tables_number 1
loop_
_symmetry_equiv_pos_as_xyz
'x,y,z'
loop_
_atom_site_label
_atom_site_type_symbol
_atom_site_fract_x
_atom_site_fract_y
_atom_site_fract_z
Sm1 Sm 0.000 0.000 0.000
Pu1 Pu 0.500 0.500 0.500
Ga1 Ga 0.750 0.750 0.750
# space-group type = F-43m, No. 216
# magnetization = 6.2 μB/cell
# total DFT energy (no corrections) = -7.36 eV/atom

# Gd3In3Pt2Au, optimized geometry, DFT PBE
data_Gd3In3Pt2Au
_chemical_formula_sum 'Gd3 In3 Pt2 Au1'
_cell_length_a 7.726
_cell_length_b 7.726
_cell_length_c 3.954
_cell_angle_alpha 90.00
_cell_angle_beta 90.00
_cell_angle_gamma 120.00
_symmetry_space_group_name_H-M 'P 1'
_symmetry_Int_Tables_number 1
loop_
_symmetry_equiv_pos_as_xyz
'x,y,z'
loop_
_atom_site_label
_atom_site_type_symbol
_atom_site_fract_x
_atom_site_fract_y
_atom_site_fract_z
Gd1 Gd 0.000 0.410 0.000
Gd2 Gd 0.410 0.000 0.000
Gd3 Gd 0.590 0.590 0.000
In1 In 0.000 0.735 0.500
In2 In 0.265 0.265 0.500
In3 In 0.735 0.000 0.500
Pt1 Pt 0.333 0.667 0.500
Pt2 Pt 0.667 0.333 0.500
Au1 Au 0.000 0.000 0.000
# space-group type = P-62m, No. 189
# magnetization = 0.0 μB/cell
# total DFT energy (no corrections) = -5.09 eV/atom

# TmSnTe3Pb, optimized geometry, DFT PBE
data_TmSnTe3Pb
_chemical_formula_sum 'Tm2 Sn2 Te6 Pb2'
_cell_length_a 7.877
_cell_length_b 7.877
_cell_length_c 11.392
_cell_angle_alpha 90.00
_cell_angle_beta 90.00
_cell_angle_gamma 147.65
_symmetry_space_group_name_H-M 'P 1'
_symmetry_Int_Tables_number 1
loop_
_symmetry_equiv_pos_as_xyz
'x,y,z'
loop_
_atom_site_label
_atom_site_type_symbol
_atom_site_fract_x
_atom_site_fract_y
_atom_site_fract_z
Tm1 Tm 0.000 0.000 0.000
Tm2 Tm 0.000 0.000 0.500
Sn1 Sn 0.459 0.541 0.750
Sn2 Sn 0.541 0.459 0.250
Te1 Te 0.105 0.895 0.750
Te2 Te 0.355 0.645 0.523
Te3 Te 0.355 0.645 0.977
Te4 Te 0.645 0.355 0.023
Te5 Te 0.645 0.355 0.477
Te6 Te 0.895 0.105 0.250
Pb1 Pb 0.236 0.764 0.250
Pb2 Pb 0.764 0.236 0.750
# space-group type = Cmcm, No. 63
# magnetization = 0.0 μB/cell
# total DFT energy (no corrections) = -4.11 eV/atom

# DyUGa, optimized geometry, DFT PBE
data_DyUGa
_chemical_formula_sum 'Dy1 U1 Ga1'
_cell_length_a 4.878
_cell_length_b 4.878
_cell_length_c 4.878
_cell_angle_alpha 60.00
_cell_angle_beta 60.00
_cell_angle_gamma 60.00
_symmetry_space_group_name_H-M 'P 1'
_symmetry_Int_Tables_number 1
loop_
_symmetry_equiv_pos_as_xyz
'x,y,z'
loop_
_atom_site_label
_atom_site_type_symbol
_atom_site_fract_x
_atom_site_fract_y
_atom_site_fract_z
Dy1 Dy 0.000 0.000 0.000
U1 U 0.250 0.250 0.250
Ga1 Ga 0.750 0.750 0.750
# space-group type = F-43m, No. 216
# magnetization = 3.8 μB/cell
# total DFT energy (no corrections) = -5.48 eV/atom

# YTcO3F, optimized geometry, DFT PBE
data_YTcO3F
_chemical_formula_sum 'Y2 Tc2 O6 F2'
_cell_length_a 3.597
_cell_length_b 6.123
_cell_length_c 6.570
_cell_angle_alpha 83.45
_cell_angle_beta 79.21
_cell_angle_gamma 84.89
_symmetry_space_group_name_H-M 'P 1'
_symmetry_Int_Tables_number 1
loop_
_symmetry_equiv_pos_as_xyz
'x,y,z'
loop_
_atom_site_label
_atom_site_type_symbol
_atom_site_fract_x
_atom_site_fract_y
_atom_site_fract_z
Y1 Y 0.157 0.117 0.210
Y2 Y 0.843 0.883 0.790
Tc1 Tc 0.492 0.385 0.663
Tc2 Tc 0.508 0.615 0.337
O1 O 0.055 0.516 0.290
O2 O 0.264 0.847 0.478
O3 O 0.277 0.116 0.856
O4 O 0.723 0.884 0.144
O5 O 0.736 0.153 0.522
O6 O 0.945 0.484 0.710
F1 F 0.354 0.664 0.873
F2 F 0.646 0.336 0.127
# space-group type = P-1, No. 2
# magnetization = 0.1 μB/cell
# total DFT energy (no corrections) = -7.92 eV/atom

# NbFeSiHg, optimized geometry, DFT PBE
data_NbFeSiHg
_chemical_formula_sum 'Nb1 Fe1 Si1 Hg1'
_cell_length_a 4.485
_cell_length_b 4.485
_cell_length_c 4.485
_cell_angle_alpha 60.00
_cell_angle_beta 60.00
_cell_angle_gamma 60.00
_symmetry_space_group_name_H-M 'P 1'
_symmetry_Int_Tables_number 1
loop_
_symmetry_equiv_pos_as_xyz
'x,y,z'
loop_
_atom_site_label
_atom_site_type_symbol
_atom_site_fract_x
_atom_site_fract_y
_atom_site_fract_z
Nb1 Nb 0.000 0.000 0.000
Fe1 Fe 0.500 0.500 0.500
Si1 Si 0.250 0.250 0.250
Hg1 Hg 0.750 0.750 0.750
# space-group type = F-43m, No. 216
# magnetization = 1.8 μB/cell
# total DFT energy (no corrections) = -5.69 eV/atom

# Ho5FeTe3, optimized geometry, DFT PBE
data_Ho5FeTe3
_chemical_formula_sum 'Ho5 Fe1 Te3'
_cell_length_a 8.239
_cell_length_b 8.239
_cell_length_c 4.040
_cell_angle_alpha 90.00
_cell_angle_beta 90.00
_cell_angle_gamma 120.00
_symmetry_space_group_name_H-M 'P 1'
_symmetry_Int_Tables_number 1
loop_
_symmetry_equiv_pos_as_xyz
'x,y,z'
loop_
_atom_site_label
_atom_site_type_symbol
_atom_site_fract_x
_atom_site_fract_y
_atom_site_fract_z
Ho1 Ho 0.000 0.670 0.000
Ho2 Ho 0.330 0.330 0.000
Ho3 Ho 0.333 0.667 0.500
Ho4 Ho 0.667 0.333 0.500
Ho5 Ho 0.670 0.000 0.000
Fe1 Fe 0.000 0.000 0.000
Te1 Te 0.000 0.256 0.500
Te2 Te 0.256 0.000 0.500
Te3 Te 0.744 0.744 0.500
# space-group type = P-62m, No. 189
# magnetization = 1.2 μB/cell
# total DFT energy (no corrections) = -4.92 eV/atom